No. 1
Density functional theory data (GGA-PBEsol) for a geometry-optimized Ca2YTa structure.

Calculated density   5.2 g/cm3
E_form   0.812 eV/atom
Energy above the lowest structure with this stoichiometry   210 meV/atom
D(E_F)   7.021 states/eV/f.u.

Cell: 5.390 5.390 5.390 Å, 60.00 60.00 60.00°
Sites, in units of the cell vectors:
Ca (0.250, 0.250, 0.250)
Ca (0.750, 0.750, 0.750)
Y (0.000, 0.000, 0.000)
Ta (0.500, 0.500, 0.500)

***

No. 2
Density functional theory data (GGA-PBEsol) for a geometry-optimized CaY2ZrTa structure.

Calculated density   5.6 g/cm3
E_form   1.490 eV/atom
D(E_F)   7.265 states/eV/f.u.

Cell: 5.267 5.267 5.255 Å, 90.00 90.00 90.00°
Sites, in units of the cell vectors:
Ca (0.000, 0.000, 0.000)
Y (0.000, 0.500, 0.500)
Y (0.500, 0.000, 0.500)
Zr (0.000, 0.000, 0.500)
Ta (0.500, 0.500, 0.000)

***

No. 3
Density functional theory data (GGA-PBEsol) for a geometry-optimized CaTa2Zn structure.

Calculated density   10.2 g/cm3
E_form   0.577 eV/atom
D(E_F)   4.732 states/eV/f.u.

Cell: 5.495 5.495 5.495 Å, 137.12 137.12 62.25°
Sites, in units of the cell vectors:
Ca (0.000, 0.000, 0.000)
Ta (0.250, 0.750, 0.500)
Ta (0.750, 0.250, 0.500)
Zn (0.500, 0.500, 0.000)

***

No. 4
Density functional theory data (GGA-PBEsol) for a geometry-optimized CaTaZn2 structure.

Calculated density   7.7 g/cm3
E_form   0.351 eV/atom
D(E_F)   3.386 states/eV/f.u.

Cell: 3.066 4.202 5.871 Å, 90.00 90.00 90.00°
Sites, in units of the cell vectors:
Ca (0.000, 0.000, 0.000)
Ta (0.500, 0.500, 0.329)
Zn (0.000, 0.000, 0.493)
Zn (0.500, 0.500, 0.772)

***

No. 5
Density functional theory data (GGA-PBEsol) for a geometry-optimized CaTa2Zn structure.

Calculated density   10.2 g/cm3
E_form   0.273 eV/atom
D(E_F)   3.035 states/eV/f.u.

Cell: 2.860 2.860 9.469 Å, 90.00 90.00 101.06°
Sites, in units of the cell vectors:
Ca (0.000, 0.000, 0.000)
Ta (0.000, 0.000, 0.529)
Ta (0.500, 0.500, 0.298)
Zn (0.500, 0.500, 0.749)

***

No. 6
Density functional theory data (GGA-PBEsol) for a geometry-optimized CaTaZn2 structure.

Calculated density   8.2 g/cm3
E_form   0.211 eV/atom
D(E_F)   2.138 states/eV/f.u.

Cell: 5.465 5.465 5.117 Å, 107.61 107.61 29.46°
Sites, in units of the cell vectors:
Ca (0.000, 0.000, 0.000)
Ta (0.790, 0.790, 0.378)
Zn (0.243, 0.243, 0.845)
Zn (0.538, 0.538, 0.507)

***

No. 7
Density functional theory data (GGA-PBEsol) for a geometry-optimized Ca4TaZn structure.

Calculated density   3.9 g/cm3
E_form   1.006 eV/atom
D(E_F)   5.849 states/eV/f.u.

Cell: 6.251 6.251 6.251 Å, 60.00 60.00 60.00°
Sites, in units of the cell vectors:
Ca (0.125, 0.125, 0.125)
Ca (0.125, 0.125, 0.624)
Ca (0.125, 0.624, 0.125)
Ca (0.624, 0.125, 0.125)
Ta (0.500, 0.500, 0.500)
Zn (0.750, 0.750, 0.750)

***

No. 8
Density functional theory data (GGA-PBEsol) for a geometry-optimized CaZrTa2 structure.

Calculated density   9.3 g/cm3
E_form   0.440 eV/atom
Energy above the lowest structure with this stoichiometry   0 meV/atom
D(E_F)   3.404 states/eV/f.u.

Cell: 2.983 4.676 6.441 Å, 90.00 102.51 90.00°
Sites, in units of the cell vectors:
Ca (0.000, 0.000, 0.000)
Zr (0.252, 0.500, 0.682)
Ta (0.567, 0.000, 0.480)
Ta (0.725, 0.500, 0.282)

***

No. 9
Density functional theory data (GGA-PBEsol) for a geometry-optimized CaZrTa2 structure.

Calculated density   10.0 g/cm3
E_form   0.584 eV/atom
Energy above the lowest structure with this stoichiometry   144 meV/atom
D(E_F)   5.890 states/eV/f.u.

Cell: 5.894 5.894 2.755 Å, 95.17 95.17 119.32°
Sites, in units of the cell vectors:
Ca (0.000, 0.000, 0.000)
Zr (0.500, 0.500, 0.000)
Ta (0.000, 0.500, 0.500)
Ta (0.500, 0.000, 0.500)

***

No. 10
Density functional theory data (GGA-PBEsol) for a geometry-optimized CaZr2Ta structure.

Calculated density   7.6 g/cm3
E_form   0.475 eV/atom
Energy above the lowest structure with this stoichiometry   69 meV/atom
D(E_F)   5.273 states/eV/f.u.

Cell: 5.516 5.516 3.073 Å, 90.00 90.00 109.17°
Sites, in units of the cell vectors:
Ca (0.000, 0.000, 0.000)
Zr (0.000, 0.500, 0.500)
Zr (0.500, 0.000, 0.500)
Ta (0.500, 0.500, 0.000)

***

No. 11
Density functional theory data (GGA-PBEsol) for a geometry-optimized Ca2ZrTa structure.

Calculated density   5.9 g/cm3
E_form   0.669 eV/atom
Energy above the lowest structure with this stoichiometry   250 meV/atom
D(E_F)   4.754 states/eV/f.u.

Cell: 6.613 6.613 6.613 Å, 151.34 134.06 55.04°
Sites, in units of the cell vectors:
Ca (0.228, 0.228, 0.000)
Ca (0.772, 0.772, 0.000)
Zr (0.500, 0.000, 0.500)
Ta (0.000, 0.500, 0.500)

***

No. 12
Density functional theory data (GGA-PBEsol) for a geometry-optimized CaZrTa2 structure.

Calculated density   9.5 g/cm3
E_form   0.527 eV/atom
Energy above the lowest structure with this stoichiometry   88 meV/atom
D(E_F)   5.604 states/eV/f.u.

Cell: 2.896 4.878 6.278 Å, 90.00 102.33 90.00°
Sites, in units of the cell vectors:
Ca (0.000, 0.000, 0.000)
Zr (0.000, 0.000, 0.500)
Ta (0.455, 0.500, 0.706)
Ta (0.545, 0.500, 0.294)